Computed, not measured: a geometry-optimized NpPW structure at the PBE level of DFT.

Properties
As for the crystal system: tetragonal. The energy of formation comes out at -0.51 eV/f.u. The density of states at the Fermi level comes out at 6.40 states/eV per cell.

Cell lengths 3.543, 3.543, 7.406 Å; angles 90.00, 90.00, 90.00 degrees
Space group P4/nmm (No. 129, origin choice 2)
Asymmetric unit:
1 Np 0.250 0.750 0.000 [2 per cell]
2 P 0.250 0.250 0.298 [2 per cell]
3 W 0.250 0.250 0.628 [2 per cell]

Computed, not measured: a geometry-optimized RbHg4Cl structure at the PBE level of DFT.

Properties
As for the crystal system: cubic. The uncorrected formation energy is -0.47 eV/atom.

Cell lengths 9.273, 9.273, 9.273 Å; angles 90.00, 90.00, 90.00 degrees
Space group F-43m (No. 216)
Asymmetric unit:
1 Rb 0.000 0.000 0.000 [4 per cell]
2 Hg 0.124 0.124 0.624 [16 per cell]
3 Cl 0.250 0.250 0.250 [4 per cell]

Computed, not measured: a geometry-optimized Be3GaH structure at the PBE level of DFT.

Properties
As for the crystal system: cubic. The density of states at the Fermi level comes out at 1.57 states/eV per cell. The calculation puts the polymorph energy (0 for the lowest one) at 0.0 meV/atom.

Cell lengths 3.559, 3.559, 3.559 Å; angles 90.00, 90.00, 90.00 degrees
Space group Pm-3m (No. 221)
Asymmetric unit:
1 Be 0.000 0.000 0.500 [3 per cell]
2 Ga 0.500 0.500 0.500 [1 per cell]
3 H 0.000 0.000 0.000 [1 per cell]